Run w
SrTb2Ir after structural relaxation, computed with PBE.

Cell and atoms, written as POSCAR:
```
SrTb2Ir
1.0
-1.649 1.191 -3.609
-2.819 -2.386 -1.878
-8.537 4.199 2.909
Tb Ir Sr
2 1 1
direct
0.285 0.285 0.145
0.715 0.715 0.855
0.000 0.000 0.000
0.500 0.500 0.500
```

## Properties
Density of states at the Fermi level: 3.3 states/eV/f.u.
Total magnetic moment: 0.00 μB per cell
Space group: No. 166

---

Run x
SrTb2Ir after structural relaxation, computed with PBE.

Cell and atoms, written as POSCAR:
```
SrTb2Ir
1.0
-2.849 2.437 1.845
-0.819 -0.458 4.071
5.409 6.872 4.005
Tb Ir Sr
2 1 1
direct
0.049 0.049 0.853
0.284 0.284 0.149
0.666 0.666 0.001
0.501 0.501 0.496
```

## Properties
Density of states at the Fermi level: 4.2 states/eV/f.u.
Total magnetic moment: 0.00 μB per cell
Space group: No. 160

---

Relative energies, in eV/atom, with the most stable structure set to zero: run w 0.012; run x 0.000.